# 1
DFT (GGA-PBE) results for crystalline Ac2YCu2Se6 at its relaxed geometry.

Cell: 7.4159 7.4159 8.2455 Å, 63.28 63.28 60.00°
Closest atoms and distances in Å follow each position.
Fractional positions:
Ac 0.7949 0.7949 0.6154  3 Se 3.07
Ac 0.2051 0.2051 0.3846  3 Se 3.07
Se 0.2158 0.7505 0.2831  1 Cu 2.29
Cu 0.4328 0.4328 0.7016  3 Se 2.29
Se 0.7505 0.7505 0.2831  1 Cu 2.29
Se 0.2495 0.2495 0.7169  1 Cu 2.29
Se 0.7842 0.2495 0.7169  1 Cu 2.29
Y 0.0000 0.0000 0.0000  6 Se 2.82
Se 0.7505 0.2158 0.2831  1 Cu 2.29
Se 0.2495 0.7842 0.7169  1 Cu 2.29
Cu 0.5672 0.5672 0.2984  3 Se 2.29

- Formation energy without anion corrections: -12.059 eV per formula unit
- Density of states at the Fermi level: 6.98 states/eV/cell

# 2
DFT (GGA-PBE) results for crystalline TlCr2Ir at its relaxed geometry.

Cell: 4.7467 4.7467 4.7437 Å, 127.83 127.84 76.94°
Closest atoms and distances in Å follow each position.
Fractional positions:
Ir 0.7500 0.2500 0.5000  8 Cr 2.79, 4 Tl 2.95
Tl 0.2500 0.7500 0.5000  8 Cr 2.79, 4 Ir 2.95
Cr 0.0000 0.0000 0.0000  4 Tl 2.79, 4 Ir 2.79, 4 Cr 2.95
Cr 0.5000 0.5000 0.0000  4 Tl 2.79, 4 Ir 2.79, 4 Cr 2.95

- Density of states at the Fermi level: 3.65 states/eV/cell
- Excess energy over the best structure of this formula in the dataset: 0.140 eV per atom
- ΔE_f: 514.0 meV per atom

# 3
DFT (GGA-PBE) results for crystalline Ta2CoRh at its relaxed geometry.

Cell: 8.5291 8.5291 8.5291 Å, 20.08 20.08 20.08°
Closest atoms and distances in Å follow each position.
Fractional positions:
Co 0.5034 0.5034 0.5034  3 Ta 2.49, 3 Rh 2.75
Ta 0.2422 0.2422 0.2422  3 Co 2.49
Rh 0.7510 0.7510 0.7510  3 Ta 2.66, 3 Co 2.75, 6 Rh 2.97
Ta 0.0034 0.0034 0.0034  3 Rh 2.66, 9 Ta 2.93-2.97

- Density of states at the Fermi level: 2.96 states/eV/cell
- ΔE_f: 64.5 meV per atom

# 4
DFT (GGA-PBE) results for crystalline TbAlZnGa at its relaxed geometry.

Cell: 3.4051 5.1337 5.0188 Å, 90.00 90.00 90.00°
Closest atoms and distances in Å follow each position.
Fractional positions:
Zn 0.0000 0.0000 0.5000  2 Al 2.51
Tb 0.5000 0.5000 0.5000  4 Ga 3.03, 4 Zn 3.08
Al 0.0000 0.0000 0.0000  2 Zn 2.51, 2 Ga 2.57
Ga 0.0000 0.5000 0.0000  2 Al 2.57

- Density of states at the Fermi level: 2.07 states/eV/cell
- Excess energy over the best structure of this formula in the dataset: 0.203 eV per atom
- ΔE_f: -55.6 meV per atom

# 5
DFT (GGA-PBE) results for crystalline Sr6AgPt2I3 at its relaxed geometry.

Cell: 7.7992 7.7992 8.7210 Å, 98.58 98.58 119.99°
Closest atoms and distances in Å follow each position.
Fractional positions:
Sr 0.9330 0.5787 0.7994  2 Pt 3.02, 1 Ag 3.23
I 0.1630 0.8370 0.5000  6 Sr 3.52-3.67
Sr 0.7124 0.7124 0.1991  2 Pt 3.02, 1 Ag 3.22
Sr 0.0670 0.4213 0.2006  2 Pt 3.02, 1 Ag 3.23
Sr 0.2876 0.2876 0.8009  2 Pt 3.02, 1 Ag 3.22
Ag 0.0000 0.0000 0.0000  6 Sr 3.22-3.23
I 0.8370 0.1630 0.5000  6 Sr 3.52-3.67
Sr 0.5787 0.9330 0.7994  2 Pt 3.02, 1 Ag 3.23
I 0.5000 0.5000 0.5000  6 Sr 3.50-3.66
Pt 0.6670 0.3330 0.0000  6 Sr 3.02
Sr 0.4213 0.0670 0.2006  2 Pt 3.02, 1 Ag 3.23
Pt 0.3330 0.6670 0.0000  6 Sr 3.02

- Formation energy without anion corrections: -11.920 eV per formula unit
- Density of states at the Fermi level: 7.24 states/eV/cell

# 6
DFT (GGA-PBE) results for crystalline TbNd2PuN4 at its relaxed geometry.

Cell: 3.5647 6.1388 6.1687 Å, 109.22 90.00 90.00°
Closest atoms and distances in Å follow each position.
Fractional positions:
N 0.0000 0.2475 0.7675  1 Pu 2.41, 2 Tb 2.48, 3 Nd 2.56-2.61
Nd 0.0000 0.5000 0.5000  6 N 2.61
Nd 0.5000 0.0000 0.5000  6 N 2.55-2.56
N 0.0000 0.7525 0.2325  1 Pu 2.41, 2 Tb 2.48, 3 Nd 2.56-2.61
N 0.5000 0.7640 0.7723  2 Pu 2.43, 1 Tb 2.47, 3 Nd 2.55-2.61
N 0.5000 0.2360 0.2277  2 Pu 2.43, 1 Tb 2.47, 3 Nd 2.55-2.61
Tb 0.5000 0.5000 0.0000  6 N 2.47-2.48
Pu 0.0000 0.0000 0.0000  6 N 2.41-2.43

- Formation energy without anion corrections: -11.241 eV per formula unit
- Density of states at the Fermi level: 7.60 states/eV/cell

# 7
DFT (GGA-PBE) results for crystalline CeYCSe at its relaxed geometry.

Cell: 3.7582 3.7584 7.2139 Å, 90.00 105.10 120.00°
Closest atoms and distances in Å follow each position.
Fractional positions:
Ce 0.5048 0.1503 0.6703  3 C 2.57
Y 0.1062 0.9511 0.0726  3 C 2.58
C 0.3044 0.5501 0.8697  3 Ce 2.57, 3 Y 2.58
Se 0.9625 0.3793 0.3570  3 Y 2.92, 3 Ce 3.06

- Formation energy without anion corrections: -4.167 eV per formula unit
- Density of states at the Fermi level: 3.74 states/eV/cell

# 8
DFT (GGA-PBE) results for crystalline LiPtCl at its relaxed geometry.

Cell: 5.5288 8.2062 4.6749 Å, 90.00 90.00 90.00°
Closest atoms and distances in Å follow each position.
Fractional positions:
Cl 0.0000 0.0000 0.0000  2 Li 2.42
Li 0.0034 0.7500 0.2727  2 Cl 2.42, 2 Pt 2.62-2.63
Li 0.4966 0.2500 0.7727  2 Cl 2.42, 2 Pt 2.62-2.63
Li 0.9966 0.2500 0.7273  2 Cl 2.42, 2 Pt 2.62-2.63
Li 0.5034 0.7500 0.2273  2 Cl 2.42, 2 Pt 2.62-2.63
Pt 0.2451 0.2500 0.2485  4 Li 2.62-2.82, 4 Cl 2.72-2.75, 2 Pt 2.76
Cl 0.5000 0.0000 0.5000  2 Li 2.42
Pt 0.7549 0.7500 0.7515  4 Li 2.62-2.82, 4 Cl 2.72-2.75, 2 Pt 2.76
Pt 0.7451 0.2500 0.2515  4 Li 2.62-2.82, 4 Cl 2.72-2.75, 2 Pt 2.76
Pt 0.2549 0.7500 0.7485  4 Li 2.62-2.82, 4 Cl 2.72-2.75, 2 Pt 2.76
Cl 0.0000 0.5000 0.0000  2 Li 2.42
Cl 0.5000 0.5000 0.5000  2 Li 2.42

- Formation energy without anion corrections: -0.858 eV per formula unit
- Density of states at the Fermi level: 3.90 states/eV/cell
- Excess energy over the best structure of this formula in the dataset: 0.541 eV per atom

# 9
DFT (GGA-PBE) results for crystalline BaPm2Au at its relaxed geometry.

Cell: 4.5636 4.5636 9.4586 Å, 76.04 76.04 60.00°
Closest atoms and distances in Å follow each position.
Fractional positions:
Au 0.0000 0.0000 0.0000  6 Pm 2.96
Pm 0.7164 0.7164 0.8509  3 Au 2.96
Ba 0.5000 0.5000 0.5000  6 Pm 4.14, 6 Ba 4.56
Pm 0.2836 0.2836 0.1491  3 Au 2.96

- Density of states at the Fermi level: 8.47 states/eV/cell
- Excess energy over the best structure of this formula in the dataset: 0.101 eV per atom
- ΔE_f: -166.1 meV per atom

# 10
DFT (GGA-PBE) results for crystalline PrYAg at its relaxed geometry.

Cell: 3.8124 5.1174 5.1174 Å, 120.00 90.00 90.00°
Closest atoms and distances in Å follow each position.
Fractional positions:
Pr 0.6297 0.6667 0.3333  3 Ag 3.23, 6 Y 3.43-3.61
Y 0.0858 0.0000 0.0000  3 Ag 3.05
Ag 0.2845 0.3333 0.6667  3 Y 3.05, 3 Pr 3.23

- Density of states at the Fermi level: 3.34 states/eV/cell
- Excess energy over the best structure of this formula in the dataset: 0.150 eV per atom
- ΔE_f: -18.7 meV per atom

# 11
DFT (GGA-PBE) results for crystalline Li6InGe2 at its relaxed geometry.

Cell: 2.8375 7.7384 7.7384 Å, 60.00 90.02 90.02°
Closest atoms and distances in Å follow each position.
Fractional positions:
Li 0.4987 0.6580 0.9999  3 Li 2.44-2.65
Li 0.5013 0.0001 0.3420  3 Li 2.44-2.65
Ge 0.0000 0.6667 0.6667  2 Ge 2.84, 12 Li 2.91-2.92
Ge 0.0000 0.3333 0.3333  2 Ge 2.84, 12 Li 2.91-2.92
Li 0.5013 0.3420 0.0001  3 Li 2.44-2.65
Li 0.5000 0.6579 0.3421  3 Li 2.44-2.65
Li 0.5000 0.3421 0.6579  3 Li 2.44-2.65
Li 0.4987 0.9999 0.6580  3 Li 2.44-2.65
In 0.0000 0.0000 0.0000  2 In 2.84, 12 Li 3.00

- Density of states at the Fermi level: 1.05 states/eV/cell
- ΔE_f: -297.4 meV per atom

# 12
DFT (GGA-PBE) results for crystalline Gd2LuMn at its relaxed geometry.

Cell: 3.5189 3.5189 8.6433 Å, 90.00 90.00 90.00°
Closest atoms and distances in Å follow each position.
Fractional positions:
Gd 0.0000 0.0000 0.7936  4 Mn 3.06
Mn 0.5000 0.5000 0.0000  8 Gd 3.06
Gd 0.0000 0.0000 0.2064  4 Mn 3.06
Lu 0.5000 0.5000 0.5000  4 Lu 3.52, 8 Gd 3.55

- Density of states at the Fermi level: 6.61 states/eV/cell
- Excess energy over the best structure of this formula in the dataset: 0.000 eV per atom
- ΔE_f: 121.7 meV per atom

# 13
DFT (GGA-PBE) results for crystalline NpAl7Cu5 at its relaxed geometry.

Cell: 5.0752 6.6982 6.6982 Å, 82.26 67.74 67.74°
Closest atoms and distances in Å follow each position.
Fractional positions:
Cu 0.7282 0.7718 0.7718  4 Cu 2.57, 6 Al 2.66-2.73
Al 0.5065 0.2007 0.7863  5 Cu 2.52-2.66, 1 Al 2.71
Cu 0.0024 0.4968 0.0011  7 Al 2.52-2.71, 3 Cu 2.52-2.57
Al 0.5065 0.7863 0.2007  5 Cu 2.52-2.66, 1 Al 2.71
Al 0.3436 0.6564 0.6564  3 Al 2.67-2.95, 6 Cu 2.68-2.73
Al 0.9929 0.3536 0.6605  5 Cu 2.61-2.71, 4 Al 2.70-2.82
Al 0.6502 0.3498 0.3498  5 Al 2.67-2.87, 4 Cu 2.68
Al 0.9929 0.6605 0.3536  5 Cu 2.61-2.71, 4 Al 2.70-2.82
Cu 0.4997 0.4968 0.0011  7 Al 2.52-2.71, 3 Cu 2.52-2.57
Cu 0.4997 0.0011 0.4968  7 Al 2.52-2.71, 3 Cu 2.52-2.57
Al 0.2761 0.2239 0.2239  4 Cu 2.53, 6 Al 2.71-2.82
Np 0.9988 0.0012 0.0012  10 Al 3.01-3.20, 6 Cu 3.23-3.33
Cu 0.0024 0.0011 0.4968  7 Al 2.52-2.71, 3 Cu 2.52-2.57

- Density of states at the Fermi level: 10.14 states/eV/cell
- ΔE_f: -235.4 meV per atom

# 14
DFT (GGA-PBE) results for crystalline TcTe2PN at its relaxed geometry.

Cell: 5.3251 5.3251 3.7087 Å, 90.00 90.00 90.00°
Closest atoms and distances in Å follow each position.
Fractional positions:
P 0.5000 0.5000 0.5000  8 Te 3.24
Tc 0.0000 0.0000 0.0000  2 N 1.85
N 0.0000 0.0000 0.5000  2 Tc 1.85
Te 0.0000 0.5000 0.0000  2 Tc 2.66
Te 0.5000 0.0000 0.0000  2 Tc 2.66

- Formation energy without anion corrections: 2.752 eV per formula unit
- Density of states at the Fermi level: 4.06 states/eV/cell
- Excess energy over the best structure of this formula in the dataset: 0.000 eV per atom

# 15
DFT (GGA-PBE) results for crystalline LiYBr2 at its relaxed geometry.

Cell: 6.5065 6.5065 7.3092 Å, 63.57 63.57 90.00°
Closest atoms and distances in Å follow each position.
Fractional positions:
Li 0.2500 0.7500 0.5000  4 Br 2.50
Br 0.1825 0.6250 0.2500  2 Li 2.50
Br 0.3750 0.4325 0.7500  2 Li 2.50
Br 0.5675 0.1250 0.2500  2 Li 2.50
Br 0.8750 0.8175 0.7500  2 Li 2.50
Y 0.0000 0.0000 0.0000  4 Br 2.94
Li 0.5000 0.5000 0.0000  4 Br 2.50
Y 0.7500 0.2500 0.5000  4 Br 2.94

- Formation energy without anion corrections: -3.808 eV per formula unit
- Density of states at the Fermi level: 1.50 states/eV/cell
- Excess energy over the best structure of this formula in the dataset: 0.266 eV per atom

# 16
DFT (GGA-PBE) results for crystalline NbTlTeRuIBr at its relaxed geometry.

Cell: 3.6870 5.1009 10.6413 Å, 88.26 81.26 88.17°
Closest atoms and distances in Å follow each position.
Fractional positions:
Te 0.5004 0.2382 0.4753  2 Ru 2.61-2.68, 2 Nb 2.79-2.80
Nb 0.0278 0.6071 0.3820  1 Ru 2.30
Tl 0.8801 0.6419 0.7603  1 Ru 2.85, 1 I 3.05
Br 0.6293 0.7419 0.1975  2 Nb 2.69-2.82
Ru 0.5574 0.7401 0.5360  1 Nb 2.30
I 0.2932 0.2282 0.9005  2 Tl 3.05-3.24

- Formation energy without anion corrections: -1.233 eV per formula unit
- Density of states at the Fermi level: 0.24 states/eV/cell
- Excess energy over the best structure of this formula in the dataset: 0.085 eV per atom

# 17
DFT (GGA-PBE) results for crystalline Hg2HBr at its relaxed geometry.

Cell: 5.3430 5.3430 7.7399 Å, 69.81 69.81 90.00°
Closest atoms and distances in Å follow each position.
Fractional positions:
Hg 0.4588 0.1250 0.2500  2 H 2.20
H 0.5000 0.5000 0.0000  4 Hg 2.20
Br 0.0000 0.0000 0.0000  4 Hg 3.10
H 0.2500 0.7500 0.5000  4 Hg 2.20
Hg 0.3750 0.5412 0.7500  2 H 2.20
Hg 0.2912 0.6250 0.2500  2 H 2.20
Hg 0.8750 0.7088 0.7500  2 H 2.20
Br 0.7500 0.2500 0.5000  4 Hg 3.10

- Density of states at the Fermi level: 1.26 states/eV/cell
- Excess energy over the best structure of this formula in the dataset: 0.207 eV per atom